Record 1
TbDyYIn | GGA-PBE | relaxed

offset from the most stable computed form = 0 meV/atom
total magnetic moment = 0.5 μB per cell
energy of formation from the pure elements = -270 meV/atom
crystal system = orthorhombic

CIF file:
```
data_TbDyYIn
_cell_length_a 4.844
_cell_length_b 4.844
_cell_length_c 4.880
_cell_angle_alpha 90.00
_cell_angle_beta 90.00
_cell_angle_gamma 90.00
_space_group_name_H-M_alt 'P 1'
_space_group_IT_number 1
loop_
_space_group_symop_operation_xyz
'x,y,z'
loop_
_atom_site_label
_atom_site_type_symbol
_atom_site_fract_x
_atom_site_fract_y
_atom_site_fract_z
Tb1 Tb 0.000 0.000 0.000
Dy1 Dy 0.500 0.500 0.000
Y1 Y 0.500 0.000 0.500
In1 In 0.000 0.500 0.500
```

***

Record 2
LiPuScSe3 | GGA-PBE | relaxed

total magnetic moment = 11.7 μB per cell
crystal system = monoclinic
formation energy from raw total energies = -1.48 eV/atom

CIF file:
```
data_LiPuScSe3
_cell_length_a 8.095
_cell_length_b 3.945
_cell_length_c 8.695
_cell_angle_alpha 90.00
_cell_angle_beta 104.28
_cell_angle_gamma 90.00
_space_group_name_H-M_alt 'P 1'
_space_group_IT_number 1
loop_
_space_group_symop_operation_xyz
'x,y,z'
loop_
_atom_site_label
_atom_site_type_symbol
_atom_site_fract_x
_atom_site_fract_y
_atom_site_fract_z
Li1 Li 0.089 0.250 0.086
Li2 Li 0.911 0.750 0.914
Pu1 Pu 0.189 0.250 0.729
Pu2 Pu 0.811 0.750 0.271
Sc1 Sc 0.331 0.750 0.341
Sc2 Sc 0.669 0.250 0.659
Se1 Se 0.102 0.250 0.370
Se2 Se 0.236 0.750 0.009
Se3 Se 0.439 0.750 0.665
Se4 Se 0.561 0.250 0.335
Se5 Se 0.764 0.250 0.991
Se6 Se 0.898 0.750 0.630
```

***

Record 3
CaLa2Ti | GGA-PBE | relaxed

offset from the most stable computed form = 0 meV/atom
total magnetic moment = 7.8 μB per cell
energy of formation from the pure elements = 308 meV/atom
crystal system = cubic

CIF file:
```
data_CaLa2Ti
_cell_length_a 7.969
_cell_length_b 7.969
_cell_length_c 7.969
_cell_angle_alpha 90.00
_cell_angle_beta 90.00
_cell_angle_gamma 90.00
_space_group_name_H-M_alt 'P 1'
_space_group_IT_number 1
loop_
_space_group_symop_operation_xyz
'x,y,z'
loop_
_atom_site_label
_atom_site_type_symbol
_atom_site_fract_x
_atom_site_fract_y
_atom_site_fract_z
Ca1 Ca 0.000 0.000 0.000
Ca2 Ca 0.000 0.500 0.500
Ca3 Ca 0.500 0.000 0.500
Ca4 Ca 0.500 0.500 0.000
La1 La 0.250 0.250 0.250
La2 La 0.250 0.250 0.750
La3 La 0.250 0.750 0.250
La4 La 0.250 0.750 0.750
La5 La 0.750 0.250 0.250
La6 La 0.750 0.250 0.750
La7 La 0.750 0.750 0.250
La8 La 0.750 0.750 0.750
Ti1 Ti 0.000 0.000 0.500
Ti2 Ti 0.000 0.500 0.000
Ti3 Ti 0.500 0.000 0.000
Ti4 Ti 0.500 0.500 0.500
```

***

Record 4
YPuNp2P4 | GGA-PBE | relaxed

total magnetic moment = 5.1 μB per cell
energy of formation from the pure elements = -1100 meV/atom
crystal system = monoclinic

CIF file:
```
data_YPuNp2P4
_cell_length_a 6.883
_cell_length_b 3.958
_cell_length_c 6.896
_cell_angle_alpha 90.00
_cell_angle_beta 109.30
_cell_angle_gamma 90.00
_space_group_name_H-M_alt 'P 1'
_space_group_IT_number 1
loop_
_space_group_symop_operation_xyz
'x,y,z'
loop_
_atom_site_label
_atom_site_type_symbol
_atom_site_fract_x
_atom_site_fract_y
_atom_site_fract_z
Y1 Y 0.000 0.000 0.000
Pu1 Pu 0.500 0.500 0.000
Np1 Np 0.000 0.500 0.500
Np2 Np 0.500 0.000 0.500
P1 P 0.250 0.000 0.746
P2 P 0.253 0.500 0.256
P3 P 0.747 0.500 0.744
P4 P 0.750 0.000 0.254
```

***

Record 5
MnFe2NiC | GGA-PBE | relaxed

offset from the most stable computed form = 18 meV/atom
total magnetic moment = 7.1 μB per cell
energy of formation from the pure elements = 109 meV/atom
crystal system = tetragonal

CIF file:
```
data_MnFe2NiC
_cell_length_a 3.769
_cell_length_b 3.769
_cell_length_c 3.816
_cell_angle_alpha 90.00
_cell_angle_beta 90.00
_cell_angle_gamma 90.00
_space_group_name_H-M_alt 'P 1'
_space_group_IT_number 1
loop_
_space_group_symop_operation_xyz
'x,y,z'
loop_
_atom_site_label
_atom_site_type_symbol
_atom_site_fract_x
_atom_site_fract_y
_atom_site_fract_z
Mn1 Mn 0.000 0.000 0.000
Fe1 Fe 0.000 0.500 0.500
Fe2 Fe 0.500 0.000 0.500
Ni1 Ni 0.500 0.500 0.000
C1 C 0.500 0.500 0.500
```

***

Record 6
TiPt3Au | GGA-PBE | relaxed

offset from the most stable computed form = 664 meV/atom
total magnetic moment = 0.0 μB per cell
energy of formation from the pure elements = 1288 meV/atom
crystal system = cubic

CIF file:
```
data_TiPt3Au
_cell_length_a 4.897
_cell_length_b 4.897
_cell_length_c 4.897
_cell_angle_alpha 90.00
_cell_angle_beta 90.00
_cell_angle_gamma 90.00
_space_group_name_H-M_alt 'P 1'
_space_group_IT_number 1
loop_
_space_group_symop_operation_xyz
'x,y,z'
loop_
_atom_site_label
_atom_site_type_symbol
_atom_site_fract_x
_atom_site_fract_y
_atom_site_fract_z
Ti1 Ti 0.000 0.000 0.000
Pt1 Pt 0.000 0.500 0.500
Pt2 Pt 0.500 0.000 0.500
Pt3 Pt 0.500 0.500 0.000
Au1 Au 0.500 0.500 0.500
```

***

Record 7
RbScCu2Ir | GGA-PBE | relaxed

offset from the most stable computed form = 1017 meV/atom
total magnetic moment = 1.0 μB per cell
energy of formation from the pure elements = 1798 meV/atom
crystal system = tetragonal

CIF file:
```
data_RbScCu2Ir
_cell_length_a 4.794
_cell_length_b 4.794
_cell_length_c 5.585
_cell_angle_alpha 90.00
_cell_angle_beta 90.00
_cell_angle_gamma 90.00
_space_group_name_H-M_alt 'P 1'
_space_group_IT_number 1
loop_
_space_group_symop_operation_xyz
'x,y,z'
loop_
_atom_site_label
_atom_site_type_symbol
_atom_site_fract_x
_atom_site_fract_y
_atom_site_fract_z
Rb1 Rb 0.000 0.000 0.000
Sc1 Sc 0.000 0.000 0.500
Cu1 Cu 0.000 0.500 0.500
Cu2 Cu 0.500 0.000 0.500
Ir1 Ir 0.500 0.500 0.000
```

***

Record 8
La6TbY | GGA-PBE | relaxed

total magnetic moment = 0.0 μB per cell
energy of formation from the pure elements = 7 meV/atom
crystal system = tetragonal

CIF file:
```
data_La6TbY
_cell_length_a 5.212
_cell_length_b 5.212
_cell_length_c 10.423
_cell_angle_alpha 90.00
_cell_angle_beta 90.00
_cell_angle_gamma 90.00
_space_group_name_H-M_alt 'P 1'
_space_group_IT_number 1
loop_
_space_group_symop_operation_xyz
'x,y,z'
loop_
_atom_site_label
_atom_site_type_symbol
_atom_site_fract_x
_atom_site_fract_y
_atom_site_fract_z
La1 La 0.000 0.000 0.000
La2 La 0.000 0.000 0.500
La3 La 0.000 0.500 0.249
La4 La 0.000 0.500 0.751
La5 La 0.500 0.000 0.249
La6 La 0.500 0.000 0.751
Tb1 Tb 0.500 0.500 0.000
Y1 Y 0.500 0.500 0.500
```

***

Record 9
Y2ZrNb | GGA-PBE | relaxed

offset from the most stable computed form = 0 meV/atom
total magnetic moment = 1.5 μB per cell
energy of formation from the pure elements = 386 meV/atom
crystal system = cubic

CIF file:
```
data_Y2ZrNb
_cell_length_a 7.421
_cell_length_b 7.421
_cell_length_c 7.421
_cell_angle_alpha 90.00
_cell_angle_beta 90.00
_cell_angle_gamma 90.00
_space_group_name_H-M_alt 'P 1'
_space_group_IT_number 1
loop_
_space_group_symop_operation_xyz
'x,y,z'
loop_
_atom_site_label
_atom_site_type_symbol
_atom_site_fract_x
_atom_site_fract_y
_atom_site_fract_z
Y1 Y 0.250 0.250 0.250
Y2 Y 0.250 0.250 0.750
Y3 Y 0.250 0.750 0.250
Y4 Y 0.250 0.750 0.750
Y5 Y 0.750 0.250 0.250
Y6 Y 0.750 0.250 0.750
Y7 Y 0.750 0.750 0.250
Y8 Y 0.750 0.750 0.750
Zr1 Zr 0.000 0.000 0.000
Zr2 Zr 0.000 0.500 0.500
Zr3 Zr 0.500 0.000 0.500
Zr4 Zr 0.500 0.500 0.000
Nb1 Nb 0.000 0.000 0.500
Nb2 Nb 0.000 0.500 0.000
Nb3 Nb 0.500 0.000 0.000
Nb4 Nb 0.500 0.500 0.500
```

***

Record 10
RbZnNiH6 | GGA-PBE | relaxed

total magnetic moment = 0.0 μB per cell
crystal system = trigonal
DFT total energy = -3.186 eV per atom

CIF file:
```
data_RbZnNiH6
_cell_length_a 4.568
_cell_length_b 4.568
_cell_length_c 5.730
_cell_angle_alpha 90.00
_cell_angle_beta 90.00
_cell_angle_gamma 120.00
_space_group_name_H-M_alt 'P 1'
_space_group_IT_number 1
loop_
_space_group_symop_operation_xyz
'x,y,z'
loop_
_atom_site_label
_atom_site_type_symbol
_atom_site_fract_x
_atom_site_fract_y
_atom_site_fract_z
Rb1 Rb 0.000 0.000 0.000
Zn1 Zn 0.333 0.667 0.500
Ni1 Ni 0.667 0.333 0.500
H1 H 0.468 0.034 0.680
H2 H 0.468 0.434 0.320
H3 H 0.566 0.034 0.320
H4 H 0.566 0.532 0.680
H5 H 0.966 0.434 0.680
H6 H 0.966 0.532 0.320
```

***

Record 11
CaSe2Br2 | GGA-PBE | relaxed

total magnetic moment = 0.0 μB per cell
crystal system = tetragonal
formation energy from raw total energies = -1.01 eV/atom

CIF file:
```
data_CaSe2Br2
_cell_length_a 3.707
_cell_length_b 3.707
_cell_length_c 24.147
_cell_angle_alpha 90.00
_cell_angle_beta 90.00
_cell_angle_gamma 90.00
_space_group_name_H-M_alt 'P 1'
_space_group_IT_number 1
loop_
_space_group_symop_operation_xyz
'x,y,z'
loop_
_atom_site_label
_atom_site_type_symbol
_atom_site_fract_x
_atom_site_fract_y
_atom_site_fract_z
Ca1 Ca 0.000 0.000 0.000
Ca2 Ca 0.500 0.500 0.500
Se1 Se 0.000 0.500 0.250
Se2 Se 0.000 0.500 0.750
Se3 Se 0.500 0.000 0.250
Se4 Se 0.500 0.000 0.750
Br1 Br 0.000 0.000 0.430
Br2 Br 0.000 0.000 0.570
Br3 Br 0.500 0.500 0.070
Br4 Br 0.500 0.500 0.930
```

***

Going through the records in order, we get DOS at the Fermi energy values of 1.48 2.09 1.39 3.27 0.85 2.17 0.70 1.33 1.16 0.19 0.23 states/eV per atom.